VS2F | PBE with a Hubbard U | relaxed

Cell: 5.7216 5.7216 6.4348 Å, 63.60 63.60 90.00°
Last column: nearest neighbours and their distance in Å.
Element x y z (fractional)
S: 0.6726 0.1250 0.2500  2 V 2.23
S: 0.0774 0.6250 0.2500  2 V 2.23
S: 0.3750 0.3274 0.7500  2 V 2.23
S: 0.8750 0.9226 0.7500  2 V 2.23
V: 0.0000 0.0000 0.0000  4 S 2.23
V: 0.7500 0.2500 0.5000  4 S 2.23
F: 0.5000 0.5000 0.0000  4 S 2.55
F: 0.2500 0.7500 0.5000  4 S 2.55

Summary:
* energy above the lowest structure with this stoichiometry: 297.2 meV/atom
* total magnetic moment: 0.11 μB/cell
* DOS(E_F): 1.763 states/eV per cell